This record from Alexandria via LeMat-Bulk describes crystalline LaLuTl at its relaxed geometry. The functional is GGA-PBE.

Calculated values
Space group ... No. 107
Calculated formation energy ... -0.210 eV/atom
Relative energy among the computed polymorphs ... 0 meV/atom

POSCAR file:
```
LaLuTl
1.0
3.683 0.000 0.000
0.000 3.683 0.000
-1.842 -1.842 6.801
Tl Lu La
1 1 1
Cartesian
0.000 0.000 3.717
1.842 1.842 1.815
1.842 1.842 6.031
```


This record from Alexandria via LeMat-Bulk describes crystalline NaAcCeTe3 at its relaxed geometry. The functional is GGA-PBE.

Calculated values
E_form (uncorrected) ... -1243 meV/atom
Space group ... No. 11

POSCAR file:
```
NaAcCeTe3
1.0
-0.648 0.079 4.527
9.111 -0.865 1.320
-1.774 10.022 -0.429
Na Ac Ce Te
2 2 2 6
Cartesian
-0.336 5.813 1.006
7.025 3.424 4.412
5.454 7.069 4.123
1.235 2.167 1.294
5.658 0.999 1.948
1.031 8.238 3.470
5.719 4.407 1.897
7.585 0.496 4.543
3.182 1.389 3.897
0.970 4.829 3.520
3.507 7.847 1.520
-0.896 8.740 0.874
```


This record from Alexandria via LeMat-Bulk describes crystalline Li3Pm3PdO8 at its relaxed geometry. The functional is GGA-PBE.

Calculated values
E_form (uncorrected) ... -2220 meV/atom
Space group ... No. 12

POSCAR file:
```
Li3Pm3PdO8
1.0
-3.741 3.728 -4.363
-2.106 -6.276 1.821
0.020 4.966 4.226
Li Pm Pd O
3 3 1 8
Cartesian
-1.861 4.347 -0.069
-2.913 1.209 0.842
-1.043 -0.655 3.024
0.000 0.000 0.000
-1.053 -3.138 0.910
-2.923 -1.274 -1.271
0.010 2.483 2.113
-1.951 -0.981 0.834
-3.876 3.400 0.850
-4.086 0.789 -1.201
-1.741 1.629 2.884
-5.007 -1.988 -0.399
-0.820 4.406 2.082
-2.925 -4.062 2.030
-2.902 6.481 -0.346
```


This record from Alexandria via LeMat-Bulk describes crystalline ZrTcSe2 at its relaxed geometry. The functional is GGA-PBE.

Calculated values
E_form (uncorrected) ... -275 meV/atom
Space group ... No. 122
Relative energy among the computed polymorphs ... 351 meV/atom

POSCAR file:
```
ZrTcSe2
1.0
4.818 0.000 0.000
0.000 4.818 0.000
2.409 2.409 7.517
Se Tc Zr
4 2 2
Cartesian
3.772 1.205 1.879
1.046 3.614 1.879
3.614 3.455 5.638
6.023 6.181 5.638
0.000 0.000 0.000
4.818 2.409 3.759
2.409 2.409 0.000
2.409 4.818 3.759
```


This record from Alexandria via LeMat-Bulk describes crystalline BaScAs2Br at its relaxed geometry. The functional is GGA-PBE.

Calculated values
E_form (uncorrected) ... -1065 meV/atom
Space group ... No. 123
Relative energy among the computed polymorphs ... 0 meV/atom

POSCAR file:
```
BaScAs2Br
1.0
-5.109 -0.328 -0.157
0.309 -5.082 0.552
-0.211 0.599 5.630
Sc As Ba Br
1 2 1 1
Cartesian
0.000 0.000 0.000
0.154 -2.541 0.276
-2.554 -0.164 -0.078
-2.505 -2.406 3.013
-0.105 0.299 2.815
```


This record from Alexandria via LeMat-Bulk describes crystalline Tb3ErMg6 at its relaxed geometry. The functional is GGA-PBE.

Calculated values
Space group ... No. 11
Calculated formation energy ... -0.064 eV/atom

POSCAR file:
```
Tb3ErMg6
1.0
-0.889 1.491 4.972
-7.847 -4.933 0.077
8.018 -7.047 3.548
Tb Er Mg
6 2 12
Cartesian
-1.296 -5.098 2.692
0.578 -5.391 5.904
3.388 -6.960 4.088
-4.106 -3.530 4.508
-6.069 -3.363 1.318
5.350 -7.127 7.278
-2.875 -8.543 3.443
2.157 -1.947 5.153
-2.885 -2.506 1.630
2.167 -7.984 6.966
0.191 -1.712 1.942
-0.909 -8.777 6.654
0.233 -7.884 3.801
-0.951 -2.606 4.795
1.805 -4.271 2.999
-2.523 -6.218 5.598
-4.532 -5.994 2.382
3.814 -4.496 6.214
6.619 -6.186 4.434
-7.337 -4.303 4.162
```


no.,total magnetic moment (μB/f.u.)
1,0.0
2,1.5
3,0.0
4,0.0
5,0.0
6,0.2